Material: YAlIn2Ir
Method: DFT, PBE
State: optimized geometry

## Properties
- space group = P4/mmm (123)
- ΔH_f (0 K) (eV per atom) = 0.797
- total magnetic moment (μB per formula unit) = 0.00
- crystal system = tetragonal

```
YAlIn2Ir
1.0
4.921 0.000 0.000
0.000 4.921 0.000
0.000 0.000 5.442
Y Al In Ir
1 1 2 1
Cartesian
0.000 0.000 0.000 Y
0.000 0.000 2.721 Al
0.000 2.461 2.721 In
2.461 0.000 2.721 In
2.461 2.461 0.000 Ir
```

Material: Nd5Sm3Y3
Method: DFT, PBE
State: optimized geometry

## Properties
- space group = P-62m (189)
- ΔH_f (0 K) (eV per atom) = 0.319
- total magnetic moment (μB per formula unit) = 0.00
- crystal system = hexagonal

```
Nd5Sm3Y3
1.0
11.339 0.000 0.000
-5.670 9.820 0.000
0.000 0.000 3.506
Nd Sm Y
5 3 3
Cartesian
-0.911 1.578 0.000 Nd
1.822 0.000 0.000 Nd
0.000 6.547 0.000 Nd
5.670 3.273 0.000 Nd
4.758 8.242 0.000 Nd
-3.736 6.472 0.000 Sm
1.933 3.348 0.000 Sm
7.473 0.000 0.000 Sm
-2.305 3.992 1.753 Y
4.609 0.000 1.753 Y
3.365 5.829 1.753 Y
```

Material: Pm3Pr3InHg2
Method: DFT, PBE
State: optimized geometry

## Properties
- space group = P-62m (189)
- ΔH_f (0 K) (eV per atom) = -0.273
- total magnetic moment (μB per formula unit) = 0.00
- crystal system = hexagonal

```
Pm3Pr3InHg2
1.0
9.130 0.000 0.000
-4.565 7.907 0.000
0.000 0.000 3.843
Pm Pr In Hg
3 3 1 2
Cartesian
-1.751 3.033 0.000 Pm
3.502 0.000 0.000 Pm
2.814 4.874 0.000 Pm
-3.246 5.623 1.922 Pr
1.319 2.284 1.922 Pr
6.493 0.000 1.922 Pr
0.000 0.000 0.000 In
0.000 5.271 1.922 Hg
4.565 2.636 1.922 Hg
```

Material: Li6Mg2AgH
Method: DFT, PBE
State: optimized geometry

## Properties
- space group = P-1 (2)
- total magnetic moment (μB per formula unit) = 0.00
- raw total energy (eV/atom) = -2.1919
- crystal system = triclinic

```
Li6Mg2AgH
1.0
5.295 0.000 0.000
2.573 4.634 0.000
2.345 1.348 6.752
Li Mg Ag H
6 2 1 1
Cartesian
2.276 1.310 1.250 Li
3.869 2.308 5.492 Li
5.277 4.562 5.991 Li
4.936 1.420 0.760 Li
6.344 3.673 1.260 Li
7.937 4.671 5.502 Li
3.741 3.705 2.752 Mg
6.472 2.277 4.000 Mg
3.820 0.674 3.376 Ag
1.286 2.317 0.000 H
```

Material: KLa2Au
Method: DFT, PBE
State: optimized geometry

## Properties
- space group = P4/mmm (123)
- ΔH_f (0 K) (eV per atom) = 0.099
- total magnetic moment (μB per formula unit) = 0.00
- crystal system = tetragonal

```
KLa2Au
1.0
5.284 0.000 0.000
0.000 5.284 0.000
0.000 0.000 4.531
K La Au
1 2 1
Cartesian
0.000 0.000 0.000 K
0.000 2.642 2.266 La
2.642 0.000 2.266 La
2.642 2.642 0.000 Au
```

Material: TbSc2Tc
Method: DFT, PBE
State: optimized geometry

## Properties
- space group = R-3m (166)
- ΔH_f (0 K) (eV per atom) = 0.144
- total magnetic moment (μB per formula unit) = 0.00
- crystal system = trigonal

```
TbSc2Tc
1.0
1.620 0.936 10.448
-1.620 0.936 10.448
0.000 -1.871 10.448
Tb Sc Tc
1 2 1
Cartesian
0.000 0.000 0.000 Tb
0.000 0.000 3.302 Sc
0.000 0.000 28.043 Sc
0.000 0.000 15.672 Tc
```

Material: DyBe17Ru
Method: DFT, PBE
State: optimized geometry

## Properties
- space group = R3m (160)
- ΔH_f (0 K) (eV per atom) = -0.109
- total magnetic moment (μB per formula unit) = 0.00
- crystal system = trigonal

```
DyBe17Ru
1.0
3.743 2.161 3.628
-3.743 2.161 3.628
0.000 -4.322 3.628
Dy Be Ru
1 17 1
Cartesian
0.000 0.000 0.000 Dy
0.000 -2.084 1.857 Be
-1.805 1.042 1.857 Be
-1.905 -1.100 5.361 Be
0.000 -2.053 5.187 Be
-1.778 1.027 5.187 Be
-1.047 -1.920 7.163 Be
-2.186 0.054 7.163 Be
1.805 1.042 1.857 Be
0.000 0.000 6.062 Be
1.047 -1.920 7.163 Be
-1.140 1.866 7.163 Be
1.905 -1.100 5.361 Be
0.000 2.199 5.361 Be
0.000 0.000 8.168 Be
1.778 1.027 5.187 Be
2.186 0.054 7.163 Be
1.140 1.866 7.163 Be
0.000 0.000 3.613 Ru
```

Material: BeTlF4
Method: DFT, PBE
State: optimized geometry

## Properties
- space group = I-4 (82)
- total magnetic moment (μB per formula unit) = 0.00
- crystal system = tetragonal
- formation energy (no corrections) (eV/atom) = -2.39

```
BeTlF4
1.0
-2.975 2.975 2.396
2.975 -2.975 2.396
2.975 2.975 -2.396
Be Tl F
1 1 4
Cartesian
0.000 0.000 0.000 Be
0.000 2.975 1.198 Tl
1.959 2.148 -1.538 F
1.017 0.827 0.858 F
3.802 1.959 1.538 F
-0.827 1.017 3.934 F
```

Material: Fe3HW
Method: DFT, PBE
State: optimized geometry

## Properties
- space group = P1 (1)
- total magnetic moment (μB per formula unit) = 0.10
- raw total energy (eV/atom) = -8.2708
- crystal system = triclinic

```
Fe3HW
1.0
4.938 0.000 0.000
-2.201 4.422 0.000
-1.372 -2.208 4.489
Fe H W
6 2 2
Cartesian
0.000 0.000 0.000 Fe
-0.692 -1.126 2.296 Fe
-1.838 1.056 2.993 Fe
-1.121 2.198 0.724 Fe
-0.054 -0.075 4.480 Fe
1.746 -1.117 2.979 Fe
1.545 0.518 3.831 H
2.307 1.747 1.507 H
0.491 1.137 2.248 W
2.562 -0.142 0.701 W
```

Material: MnNi2Ir4
Method: DFT, PBE
State: optimized geometry

## Properties
- space group = Cmmm (65)
- ΔH_f (0 K) (eV per atom) = 0.068
- total magnetic moment (μB per formula unit) = 0.43
- crystal system = orthorhombic

```
MnNi2Ir4
1.0
1.342 -13.146 0.000
1.342 13.146 0.000
0.000 0.000 2.680
Mn Ni Ir
1 2 4
Cartesian
0.000 0.000 0.000 Mn
1.342 5.556 1.340 Ni
1.342 -5.556 1.340 Ni
1.342 9.348 0.000 Ir
1.342 1.831 1.340 Ir
1.342 -1.831 1.340 Ir
1.342 -9.348 0.000 Ir
```

Material: La4Bi2Ir
Method: DFT, PBE
State: optimized geometry

## Properties
- space group = P2_1/m (11)
- ΔH_f (0 K) (eV per atom) = -0.752
- total magnetic moment (μB per formula unit) = 0.00
- crystal system = monoclinic

```
La4Bi2Ir
1.0
7.156 0.000 0.000
0.000 6.919 0.000
-3.539 0.000 9.477
La Bi Ir
8 4 2
Cartesian
-0.751 0.058 2.463 La
-0.751 3.402 2.463 La
2.532 5.189 0.827 La
0.889 5.189 5.833 La
2.728 1.730 3.644 La
1.085 1.730 8.650 La
4.368 3.517 7.014 La
4.368 6.861 7.014 La
1.461 1.730 0.444 Bi
-0.391 1.730 5.388 Bi
4.008 5.189 4.089 Bi
2.156 5.189 9.033 Bi
1.249 5.189 3.146 Ir
2.368 1.730 6.330 Ir
```